No. 1
Density functional theory data (PBE-GGA) for YHo2Hg6 after structural relaxation.

Properties
Volume   24.84 A^3/atom
Crystal system   monoclinic
Energy of formation   -0.40 eV/atom

Unit cell a=9.250 b=9.250 c=5.421 alpha=97.75 beta=97.75 gamma=78.26
Positions (direct):
Y: 0.125 0.875 0.750
Y: 0.875 0.125 0.250
Ho: 0.208 0.459 0.916
Ho: 0.459 0.208 0.416
Ho: 0.541 0.792 0.584
Ho: 0.792 0.541 0.084
Hg: 0.014 0.762 0.196
Hg: 0.098 0.348 0.362
Hg: 0.238 0.986 0.304
Hg: 0.320 0.569 0.471
Hg: 0.348 0.098 0.862
Hg: 0.431 0.680 0.029
Hg: 0.569 0.320 0.971
Hg: 0.652 0.902 0.138
Hg: 0.680 0.431 0.529
Hg: 0.762 0.014 0.696
Hg: 0.902 0.652 0.638
Hg: 0.986 0.238 0.804

=====

No. 2
Density functional theory data (PBE-GGA) for Tb4CeEr after structural relaxation.

Properties
Volume   32.05 A^3/atom
Crystal system   monoclinic
Energy of formation   0.27 eV/atom

Unit cell a=8.329 b=8.329 c=10.077 alpha=127.10 beta=127.10 gamma=46.90
Positions (direct):
Tb: 0.000 0.500 0.169
Tb: 0.000 0.500 0.831
Tb: 0.002 0.002 0.167
Tb: 0.498 0.498 0.663
Tb: 0.500 0.000 0.169
Tb: 0.500 0.000 0.831
Tb: 0.502 0.502 0.337
Tb: 0.998 0.998 0.833
Ce: 0.000 0.000 0.500
Ce: 0.500 0.500 0.000
Er: 0.000 0.500 0.500
Er: 0.500 0.000 0.500

=====

No. 3
Density functional theory data (PBE-GGA) for Hg3BiSb after structural relaxation.

Properties
E_tot   -6.86 eV/cell
Volume   35.61 A^3/atom
Crystal system   cubic

Unit cell a=5.626 b=5.626 c=5.626 alpha=90.00 beta=90.00 gamma=90.00
Positions (direct):
Hg: 0.000 0.000 0.500
Hg: 0.000 0.500 0.000
Hg: 0.500 0.000 0.000
Bi: 0.500 0.500 0.500
Sb: 0.000 0.000 0.000

=====

No. 4
Density functional theory data (PBE-GGA) for ThZr2Ag after structural relaxation.

Properties
Volume   23.75 A^3/atom
Crystal system   cubic
Energy of formation   0.10 eV/atom

Unit cell a=5.121 b=5.121 c=5.121 alpha=60.00 beta=60.00 gamma=60.00
Positions (direct):
Th: 0.000 0.000 0.000
Zr: 0.500 0.500 0.500
Zr: 0.750 0.750 0.750
Ag: 0.250 0.250 0.250

=====

No. 5
Density functional theory data (PBE-GGA) for Er5TmTl6 after structural relaxation.

Properties
Volume   28.54 A^3/atom
Crystal system   monoclinic
Energy of formation   -0.24 eV/atom

Unit cell a=7.421 b=7.421 c=6.426 alpha=98.40 beta=98.40 gamma=97.12
Positions (direct):
Er: 0.000 0.000 0.000
Er: 0.167 0.833 0.500
Er: 0.333 0.667 0.000
Er: 0.667 0.333 0.000
Er: 0.833 0.167 0.500
Tm: 0.500 0.500 0.500
Tl: 0.084 0.417 0.251
Tl: 0.250 0.250 0.749
Tl: 0.417 0.084 0.251
Tl: 0.583 0.916 0.749
Tl: 0.750 0.750 0.251
Tl: 0.916 0.583 0.749

=====

No. 6
Density functional theory data (PBE-GGA) for Ti3Ga3IrRh2 after structural relaxation.

Properties
Volume   15.19 A^3/atom
Crystal system   hexagonal
Energy of formation   -0.67 eV/atom

Unit cell a=7.387 b=7.387 c=2.892 alpha=90.00 beta=90.00 gamma=120.00
Positions (direct):
Ti: 0.000 0.699 0.000
Ti: 0.301 0.301 0.000
Ti: 0.699 0.000 0.000
Ga: 0.000 0.365 0.500
Ga: 0.365 0.000 0.500
Ga: 0.635 0.635 0.500
Ir: 0.000 0.000 0.500
Rh: 0.333 0.667 0.000
Rh: 0.667 0.333 0.000

=====

No. 7
Density functional theory data (PBE-GGA) for ReP2PbS after structural relaxation.

Properties
E_tot   -20.59 eV/cell
Volume   26.88 A^3/atom
Crystal system   tetragonal

Unit cell a=5.156 b=5.156 c=5.056 alpha=90.00 beta=90.00 gamma=90.00
Positions (direct):
Re: 0.000 0.000 0.000
P: 0.000 0.500 0.500
P: 0.500 0.000 0.500
Pb: 0.500 0.500 0.500
S: 0.500 0.500 0.000

=====

No. 8
Density functional theory data (PBE-GGA) for CeCd2Au after structural relaxation.

Properties
Volume   22.96 A^3/atom
Crystal system   cubic
Energy of formation   -0.27 eV/atom

Unit cell a=5.064 b=5.064 c=5.064 alpha=60.00 beta=60.00 gamma=60.00
Positions (direct):
Ce: 0.000 0.000 0.000
Cd: 0.250 0.250 0.250
Cd: 0.750 0.750 0.750
Au: 0.500 0.500 0.500

=====

| no. | total magnetization (μB/f.u.) |
| --- | --- |
| 1 | 0.00 |
| 2 | 1.54 |
| 3 | 1.64 |
| 4 | 0.00 |
| 5 | 0.00 |
| 6 | 0.24 |
| 7 | 3.11 |
| 8 | 0.86 |